# Mg3InPb (GGA-PBE, relaxed)
data_Mg3InPb
_space_group_name_H-M_alt 'P 1 21/m 1'
_space_group_IT_number 11
_space_group_name_Hall '-P 2yb'
_cell_length_a 3.5827
_cell_length_b 9.4815
_cell_length_c 8.1187
_cell_angle_alpha 90.00
_cell_angle_beta 102.59
_cell_angle_gamma 90.00
loop_
_atom_site_label
_atom_site_type_symbol
_atom_site_fract_x
_atom_site_fract_y
_atom_site_fract_z
Mg1 Mg 0.1111 0.2500 0.2114
Mg2 Mg 0.3435 0.0240 0.6904
In1 In 0.0000 0.0000 0.0000
Pb1 Pb 0.2339 0.7500 0.4687
# V (Å³/cell): 269.2
# Relative energy among the computed polymorphs (eV per atom): 0.031
# Formation enthalpy at 0 K (kJ/mol of atoms): 0.7